Record 1
A relaxed Cd3BSb crystal. Source: Alexandria, functional GGA-PBE.

As for the energy above the lowest structure with this stoichiometry: 0 meV per atom. The value obtained for the total energy is -10.90 eV for the cell shown.

It has space group Pm-3m (No. 221), with a = 4.7554 Å, b = 4.7554 Å, c = 4.7554 Å, α = 90.00°, β = 90.00° and γ = 90.00°. The distinct sites, in fractional coordinates, are Cd at (0.0000, 0.0000, 0.5000), B at (0.0000, 0.0000, 0.0000) and Sb at (0.5000, 0.5000, 0.5000).

Record 2
A relaxed HfPd2Pt3 crystal. Source: Alexandria, functional GGA-PBE.

For the formation energy, the calculation gives -0.718 eV/atom. As for the energy above the lowest structure with this stoichiometry: 0 meV per atom. The value obtained for the total energy is -85.54 eV for the cell shown.

It has space group P2_1/m (No. 11), with a = 5.6766 Å, b = 4.0130 Å, c = 8.4618 Å, α = 90.00°, β = 90.64° and γ = 90.00°. The distinct sites, in fractional coordinates, are Hf at (0.1281, 0.2500, 0.2528), Pd at (0.1289, 0.2500, 0.9191), Pd at (0.3743, 0.7500, 0.4152), Pt at (0.1263, 0.2500, 0.5850), Pt at (0.3687, 0.7500, 0.7520) and Pt at (0.3703, 0.7500, 0.0876).

Record 3
A relaxed TaCo2Ni2 crystal. Source: Alexandria, functional GGA-PBE.

For the formation energy, the calculation gives 0.044 eV/atom. As for the energy above the lowest structure with this stoichiometry: 184 meV per atom. The value obtained for the total energy is -74.81 eV for the cell shown.

It has space group P4/mbm (No. 127), with a = 6.7578 Å, b = 6.7578 Å, c = 2.6862 Å, α = 90.00°, β = 90.00° and γ = 90.00°. The distinct sites, in fractional coordinates, are Ta at (0.0000, 0.0000, 0.0000), Co at (0.1241, 0.3759, 0.0000) and Ni at (0.1711, 0.6711, 0.5000).

Record 4
A relaxed NdAlSn2Pd4 crystal. Source: Alexandria, functional GGA-PBE.

For the formation energy, the calculation gives -0.733 eV/atom. The value obtained for the total energy is -129.46 eV for the cell shown.

It has space group R-3m (No. 166, hexagonal axes), with a = 4.5531 Å, b = 4.5531 Å, c = 25.8472 Å, α = 90.00°, β = 90.00° and γ = 120.00°. The distinct sites, in fractional coordinates, are Nd at (0.0000, 0.0000, 0.0000), Al at (0.0000, 0.0000, 0.5000), Sn at (0.0000, 0.0000, 0.2477), Pd at (0.0000, 0.0000, 0.1385) and Pd at (0.0000, 0.0000, 0.4032).

Record 5
A relaxed NiPdRuRh crystal. Source: Alexandria, functional GGA-PBE.

For the formation energy, the calculation gives 0.316 eV/atom. The value obtained for the total energy is -105.35 eV for the cell shown.

It has space group F-43m (No. 216), with a = 6.0756 Å, b = 6.0756 Å, c = 6.0756 Å, α = 90.00°, β = 90.00° and γ = 90.00°. The distinct sites, in fractional coordinates, are Ni at (0.0000, 0.0000, 0.0000), Pd at (0.2500, 0.2500, 0.2500), Ru at (0.2500, 0.2500, 0.7500) and Rh at (0.0000, 0.0000, 0.5000).

Record 6
A relaxed NiSbSe2 crystal. Source: Alexandria, functional GGA-PBE.

The value obtained for the total energy is -16.74 eV for the cell shown.

It has space group P4mm (No. 99), with a = 3.4898 Å, b = 3.4898 Å, c = 7.3272 Å, α = 90.00°, β = 90.00° and γ = 90.00°. The distinct sites, in fractional coordinates, are Ni at (0.0000, 0.0000, 0.0000), Sb at (0.5000, 0.5000, 0.5224), Se at (0.0000, 0.0000, 0.3175) and Se at (0.5000, 0.5000, 0.9266).

Record 7
A relaxed BaNaAs2Pd5 crystal. Source: Alexandria, functional GGA-PBE.

For the formation energy, the calculation gives -0.376 eV/atom. The value obtained for the total energy is -41.89 eV for the cell shown.

It has space group P4/mmm (No. 123), with a = 4.9255 Å, b = 4.9255 Å, c = 7.5738 Å, α = 90.00°, β = 90.00° and γ = 90.00°. The distinct sites, in fractional coordinates, are Ba at (0.0000, 0.0000, 0.0000), Na at (0.0000, 0.0000, 0.5000), As at (0.5000, 0.5000, 0.3274), Pd at (0.0000, 0.5000, 0.2994) and Pd at (0.5000, 0.5000, 0.0000).

Record 8
A relaxed KDyCuI5 crystal. Source: Alexandria, functional GGA-PBE.

The value obtained for the total energy is -104.52 eV for the cell shown.

It has space group C2/c (No. 15), with a = 9.9546 Å, b = 13.1792 Å, c = 11.2620 Å, α = 90.00°, β = 113.64° and γ = 90.00°. The distinct sites, in fractional coordinates, are K at (0.0000, 0.1371, 0.2500), Dy at (0.0000, 0.5000, 0.0000), Cu at (0.0000, 0.1898, 0.7500), I at (0.0000, 0.4109, 0.2500), I at (0.1220, 0.2970, 0.6237) and I at (0.1891, 0.0748, 0.9361).